Density functional theory data (PBE) for crystalline Sc2VPt9 at its relaxed geometry.

a = 3.974 Å, b = 3.974 Å, c = 11.958 Å
α = 90.00°, β = 90.00°, γ = 90.00°
Last column: magnetic moment on the atom in μB.
Element x y z (fractional)
Sc  0.000  0.000  0.334  -0.01
Sc  0.000  0.000  0.666  -0.01
V  0.000  0.000  0.000  0.73
Pt  0.500  0.500  0.000  -0.05
Pt  0.500  0.500  0.330  -0.03
Pt  0.500  0.500  0.670  -0.03
Pt  0.500  0.000  0.159  -0.03
Pt  0.500  0.000  0.500  -0.02
Pt  0.500  0.000  0.841  -0.03
Pt  0.000  0.500  0.159  -0.03
Pt  0.000  0.500  0.500  -0.02
Pt  0.000  0.500  0.841  -0.03

energy relative to the elements: -869.7 meV per atom
calculated volume: 15.733 Å³/atom
space-group type: P4/mmm (123)
D(E_F): 8.66 states/eV/cell

***

Density functional theory data (PBE) for crystalline ScV2Pt9 at its relaxed geometry.

a = 3.943 Å, b = 3.943 Å, c = 11.890 Å
α = 90.00°, β = 90.00°, γ = 90.00°
Last column: magnetic moment on the atom in μB.
Element x y z (fractional)
Sc  0.000  0.000  0.000  0.00
V  0.000  0.000  0.334  1.21
V  0.000  0.000  0.666  1.21
Pt  0.500  0.500  0.000  -0.04
Pt  0.500  0.500  0.337  -0.09
Pt  0.500  0.500  0.663  -0.09
Pt  0.500  0.000  0.174  -0.05
Pt  0.500  0.000  0.500  -0.09
Pt  0.500  0.000  0.826  -0.05
Pt  0.000  0.500  0.174  -0.05
Pt  0.000  0.500  0.500  -0.09
Pt  0.000  0.500  0.826  -0.05

energy relative to the elements: -657.2 meV per atom
calculated volume: 15.401 Å³/atom
space-group type: P4/mmm (123)
D(E_F): 12.38 states/eV/cell

***

Density functional theory data (PBE) for crystalline Sc3PtW at its relaxed geometry.

a = 4.944 Å, b = 4.944 Å, c = 4.944 Å
α = 90.00°, β = 90.00°, γ = 90.00°
Element x y z (fractional)
Sc  0.000  0.500  0.000
Sc  0.000  0.000  0.500
Sc  0.500  0.000  0.000
W  0.000  0.000  0.000
Pt  0.500  0.500  0.500

energy relative to the elements: 591.7 meV per atom
calculated volume: 24.164 Å³/atom
space-group type: Pm-3m (221)
D(E_F): 4.20 states/eV/cell

***

Density functional theory data (PBE) for crystalline ScPt2W at its relaxed geometry.

a = 2.852 Å, b = 2.852 Å, c = 8.248 Å
α = 90.00°, β = 90.00°, γ = 90.02°
Element x y z (fractional)
Pt  0.000  0.000  0.993
Pt  0.500  0.500  0.249
Sc  0.000  0.000  0.493
W  0.500  0.500  0.765

energy relative to the elements: -359.2 meV per atom
calculated volume: 16.768 Å³/atom
space-group type: P4mm (99)
D(E_F): 3.84 states/eV/cell

***

Density functional theory data (PBE) for crystalline ScPt2W2 at its relaxed geometry.

a = 7.874 Å, b = 7.874 Å, c = 2.781 Å
α = 90.00°, β = 90.00°, γ = 90.00°
Last column: magnetic moment on the atom in μB.
Element x y z (fractional)
Sc  0.000  0.000  0.000  0.14
Sc  0.500  0.500  0.000  0.14
W  0.175  0.675  0.500  0.01
W  0.675  0.825  0.500  0.01
W  0.825  0.325  0.500  0.01
W  0.325  0.175  0.500  0.01
Pt  0.377  0.877  0.000  0.00
Pt  0.877  0.623  0.000  0.00
Pt  0.623  0.123  0.000  0.00
Pt  0.123  0.377  0.000  0.00

energy relative to the elements: -104.5 meV per atom
relative energy among the computed polymorphs: 93.3 meV/atom
calculated volume: 17.242 Å³/atom
space-group type: P4/mbm (127)
D(E_F): 9.54 states/eV/cell

***

Density functional theory data (PBE) for crystalline ScPt2W at its relaxed geometry.

a = 4.041 Å, b = 4.041 Å, c = 9.431 Å
α = 77.63°, β = 77.63°, γ = 90.00°
Element x y z (fractional)
Sc  0.500  0.500  0.000
Sc  0.250  0.750  0.500
W  0.000  0.000  0.000
W  0.750  0.250  0.500
Pt  0.633  0.125  0.250
Pt  0.117  0.625  0.250
Pt  0.375  0.367  0.750
Pt  0.875  0.883  0.750

energy relative to the elements: 68.0 meV per atom
calculated volume: 18.345 Å³/atom
space-group type: I-42d (122)
D(E_F): 10.54 states/eV/cell

***

- The lowest calculated volume belongs to which entry?
  ScV2Pt9